Below is a relaxed K2RbYZn crystal, with properties calculated at the GGA-PBE level.

```
K2RbYZn
1.0
6.761 0.000 0.000
0.000 6.761 0.000
0.000 0.000 5.757
K Rb Y Zn
2 1 1 1
Cartesian
0.000 3.380 0.000
3.380 0.000 0.000
0.000 0.000 2.878
3.380 3.380 2.878
3.380 3.380 0.000
```

Values from the calculation:
The calculation puts the uncorrected energy at -1.841 eV/atom. For the total magnetic moment, the calculation gives 0.0 μB/cell. The value obtained for the theoretical density is 2.0 Mg/m³.



Below is a relaxed Ag6IrF12 crystal, with properties calculated at the GGA-PBE level.

```
Ag6IrF12
1.0
5.127 2.960 3.345
-5.127 2.960 3.345
0.000 -5.920 3.345
Ag Ir F
6 1 12
Cartesian
-3.670 -1.079 5.205
-0.901 -3.718 4.832
-2.770 2.639 4.832
2.770 -2.639 5.205
0.901 3.718 5.205
3.670 1.079 4.832
0.000 0.000 5.018
-4.145 0.953 4.418
-2.898 -3.114 5.619
-1.182 -1.149 3.961
1.248 -4.066 4.418
-0.404 1.598 3.961
-1.586 0.450 6.075
1.586 -0.450 3.961
0.404 -1.598 6.075
-1.248 4.066 5.619
1.182 1.149 6.075
2.898 3.114 4.418
4.145 -0.953 5.619
```

Values from the calculation:
For the total magnetic moment, the calculation gives 2.6 μB/cell. The value obtained for the theoretical density is 5.8 Mg/m³. The calculation puts the formation energy without anion corrections at -1.2193 eV/atom.



Below is a relaxed Th4Fe2Pb5 crystal, with properties calculated at the GGA-PBE level.

```
Th4Fe2Pb5
1.0
8.247 0.000 0.000
0.000 3.709 0.000
-0.786 0.000 9.793
Th Fe Pb
4 2 5
Cartesian
1.320 0.000 3.192
0.904 0.000 9.183
6.557 0.000 0.610
6.141 0.000 6.600
0.734 1.854 1.237
6.727 1.854 8.555
0.710 1.854 6.234
3.697 1.854 1.602
3.731 1.854 4.896
3.764 1.854 8.191
6.751 1.854 3.558
```

Values from the calculation:
The calculation puts the uncorrected energy at -6.115 eV/atom. For the total magnetic moment, the calculation gives 0.0 μB/cell. The value obtained for the theoretical density is 11.5 Mg/m³.



Below is a relaxed HfPaCuRu crystal, with properties calculated at the GGA-PBE level.

```
HfPaCuRu
1.0
0.000 3.352 3.352
3.352 0.000 3.352
3.352 3.352 0.000
Hf Pa Cu Ru
1 1 1 1
Cartesian
0.000 0.000 0.000
3.352 3.352 3.352
1.676 1.676 1.676
5.028 5.028 5.028
```

Values from the calculation:
The calculation puts the uncorrected energy at -8.392 eV/atom. For the total magnetic moment, the calculation gives 0.0 μB/cell. The value obtained for the theoretical density is 12.7 Mg/m³.



Below is a relaxed SrMnTe4 crystal, with properties calculated at the GGA-PBE level.

```
SrMnTe4
1.0
0.000 4.581 4.581
4.581 0.000 4.581
4.581 4.581 0.000
Sr Mn Te
1 1 4
Cartesian
0.000 0.000 0.000
2.291 2.291 2.291
5.723 3.440 3.440
3.440 5.723 3.440
3.440 3.440 5.723
5.723 5.723 5.723
```

Values from the calculation:
For the total magnetic moment, the calculation gives 5.1 μB/cell. The value obtained for the theoretical density is 5.6 Mg/m³. The calculation puts the formation energy without anion corrections at 0.1416 eV/atom.



Below is a relaxed LaTl2O2 crystal, with properties calculated at the GGA-PBE level.

```
LaTl2O2
1.0
-1.923 1.923 7.078
1.923 -1.923 7.078
1.923 1.923 -7.078
La Tl O
1 2 2
Cartesian
0.000 0.000 0.000
1.923 0.000 3.539
0.000 1.923 3.539
0.000 0.000 5.876
0.000 0.000 8.280
```

Values from the calculation:
For the total magnetic moment, the calculation gives 0.0 μB/cell. The value obtained for the theoretical density is 9.2 Mg/m³. The calculation puts the formation energy without anion corrections at -0.7097 eV/atom.



Below is a relaxed CeBN crystal, with properties calculated at the GGA-PBE level.

```
CeBN
1.0
7.175 0.000 0.000
0.000 3.367 0.000
0.000 0.000 6.303
Ce B N
4 4 4
Cartesian
1.284 0.842 1.007
2.304 2.525 4.158
4.872 0.842 2.145
5.891 2.525 5.297
0.153 0.842 3.553
3.435 2.525 0.402
3.741 0.842 5.902
7.022 2.525 2.750
0.563 0.842 4.985
3.025 2.525 1.834
4.150 0.842 4.469
6.613 2.525 1.318
```

Values from the calculation:
For the total magnetic moment, the calculation gives 0.0 μB/cell. The value obtained for the theoretical density is 7.2 Mg/m³. The calculation puts the formation energy without anion corrections at -1.1969 eV/atom.



Below is a relaxed Nd3Cd2Hg4 crystal, with properties calculated at the GGA-PBE level.

```
Nd3Cd2Hg4
1.0
5.607 -2.526 0.000
5.607 2.526 0.000
-4.560 0.000 8.213
Nd Cd Hg
3 2 4
Cartesian
0.000 0.000 0.000
2.265 0.000 2.712
4.389 0.000 5.501
1.060 0.000 5.900
5.594 0.000 2.314
-1.074 0.000 3.245
-1.120 0.000 7.795
7.774 0.000 0.419
7.728 0.000 4.969
```

Values from the calculation:
The calculation puts the uncorrected energy at -2.342 eV/atom. For the total magnetic moment, the calculation gives 0.0 μB/cell. The value obtained for the theoretical density is 10.4 Mg/m³.